No. 1
Compound: GaFe2Pd7
Source: Alexandria via LeMat-Bulk
Functional: GGA-PBE
Structure: optimized geometry

Results
ΔH_f (0 K) in kcal/mol of atoms: 6.89

Cell and atoms, written as POSCAR:
```
GaFe2Pd7
1.0
-2.0962 2.4365 2.7528
-3.8657 -5.6210 2.0315
6.0852 1.3538 3.4356
Ga Fe Pd
1 2 7
direct
0.0000 0.0000 0.0000
0.5000 0.6997 0.3003
0.5000 0.3003 0.6997
0.0000 0.7948 0.2052
0.0000 0.2052 0.7948
0.5000 0.0746 0.3015
0.5000 0.9254 0.6985
0.5000 0.3015 0.0746
0.5000 0.6985 0.9254
0.5000 0.5000 0.5000
```

=====

No. 2
Compound: GaFePd5
Source: Alexandria via LeMat-Bulk
Functional: GGA-PBE
Structure: optimized geometry

Results
ΔH_f (0 K) in kcal/mol of atoms: -1.43

Cell and atoms, written as POSCAR:
```
GaFePd5
1.0
6.9576 -1.6800 0.0853
0.6142 7.1312 0.0853
2.8401 2.0447 4.6666
Ga Fe Pd
2 2 10
direct
0.0000 0.0000 0.0000
0.0000 0.0000 0.5000
0.5124 0.4876 0.2500
0.4876 0.5124 0.7500
0.5758 0.8365 0.2813
0.1595 0.4203 0.6932
0.8365 0.5758 0.7813
0.7996 0.2004 0.2500
0.5797 0.8405 0.8068
0.4203 0.1595 0.1932
0.2004 0.7996 0.7500
0.1635 0.4242 0.2187
0.8405 0.5797 0.3068
0.4242 0.1635 0.7187
```

=====

No. 3
Compound: Ga2FePd
Source: Alexandria via LeMat-Bulk
Functional: GGA-PBE
Structure: optimized geometry

Results
ΔH_f (0 K) in kcal/mol of atoms: 0.76

Cell and atoms, written as POSCAR:
```
Ga2FePd
1.0
3.8183 0.0000 0.0000
0.0000 3.8183 0.0000
1.9091 1.9091 8.7364
Ga Pd Fe
4 2 2
direct
0.6139 0.1250 0.2500
0.1361 0.6250 0.2500
0.3750 0.3861 0.7500
0.8750 0.8639 0.7500
0.0000 0.0000 0.0000
0.7500 0.2500 0.5000
0.5000 0.5000 0.0000
0.2500 0.7500 0.5000
```

=====

No. 4
Compound: RbGaFePd2
Source: Alexandria via LeMat-Bulk
Functional: GGA-PBE
Structure: optimized geometry

Results
ΔH_f (0 K) in kcal/mol of atoms: 10.26

Cell and atoms, written as POSCAR:
```
RbGaFePd2
1.0
-3.1093 -3.7464 -0.4957
3.6511 -2.9880 -0.3186
-0.0608 -0.5922 4.8574
Ga Rb Pd Fe
1 1 2 1
direct
0.0000 0.0000 0.0000
0.5000 0.5000 0.5000
0.0000 0.0000 0.5000
0.5000 0.0000 0.0000
0.0000 0.5000 0.0000
```

=====

No. 5
Compound: GaFePdRh
Source: Alexandria via LeMat-Bulk
Functional: GGA-PBE
Structure: optimized geometry

Results
ΔH_f (0 K) in kcal/mol of atoms: -8.21

Cell and atoms, written as POSCAR:
```
GaFePdRh
1.0
4.3018 0.0000 0.0000
2.1509 3.7254 0.0000
2.1509 1.2418 3.5124
Rh Ga Pd Fe
1 1 1 1
direct
0.0000 0.0000 0.0000
0.2500 0.2500 0.2500
0.5000 0.5000 0.5000
0.7500 0.7500 0.7500
```

=====

No. 6
Compound: GaFePdRu
Source: Alexandria via LeMat-Bulk
Functional: GGA-PBE
Structure: optimized geometry

Results
ΔH_f (0 K) in kcal/mol of atoms: -5.28

Cell and atoms, written as POSCAR:
```
GaFePdRu
1.0
4.2940 0.0000 0.0000
2.1470 3.7187 0.0000
2.1470 1.2396 3.5060
Ru Ga Pd Fe
1 1 1 1
direct
0.5000 0.5000 0.5000
0.7500 0.7500 0.7500
0.0000 0.0000 0.0000
0.2500 0.2500 0.2500
```

=====

No. 7
Compound: ScGaFePd
Source: Alexandria via LeMat-Bulk
Functional: GGA-PBE
Structure: optimized geometry

Results
ΔH_f (0 K) in kcal/mol of atoms: -10.60

Cell and atoms, written as POSCAR:
```
ScGaFePd
1.0
4.3674 0.0000 0.0000
2.1837 3.7823 0.0000
2.1837 1.2608 3.5660
Sc Ga Pd Fe
1 1 1 1
direct
0.0000 0.0000 0.0000
0.5000 0.5000 0.5000
0.2500 0.2500 0.2500
0.7500 0.7500 0.7500
```

=====

No. 8
Compound: GaFe2SiPd
Source: Alexandria via LeMat-Bulk
Functional: GGA-PBE
Structure: optimized geometry

Results
Uncorrected formation energy in meV/atom: 904

Cell and atoms, written as POSCAR:
```
GaFe2SiPd
1.0
-2.0742 -2.9577 2.5096
-1.3772 -2.2117 -3.7448
3.6446 -2.4603 0.1126
Si Ga Pd Fe
1 1 1 2
direct
0.5000 0.5000 0.5000
0.0000 0.0000 0.0000
0.0000 0.5000 0.0000
0.0000 0.0000 0.5000
0.5000 0.0000 0.0000
```

=====

No. 9
Compound: Ga2FeSiPd
Source: Alexandria via LeMat-Bulk
Functional: GGA-PBE
Structure: optimized geometry

Results
Uncorrected formation energy in meV/atom: 96

Cell and atoms, written as POSCAR:
```
Ga2FeSiPd
1.0
4.5111 0.0000 0.0000
0.0000 4.2499 0.0000
0.0000 0.0000 4.5111
Si Ga Pd Fe
1 2 1 1
direct
0.0000 0.5000 0.0000
0.0000 0.0000 0.5000
0.5000 0.0000 0.0000
0.5000 0.5000 0.5000
0.0000 0.0000 0.0000
```

=====

No. 10
Compound: Sr2GaFePd
Source: Alexandria via LeMat-Bulk
Functional: GGA-PBE
Structure: optimized geometry

Results
ΔH_f (0 K) in kcal/mol of atoms: 9.97

Cell and atoms, written as POSCAR:
```
Sr2GaFePd
1.0
-2.9470 -3.0839 3.2071
3.3793 -2.9618 0.2572
1.9343 2.5763 4.2547
Sr Ga Pd Fe
2 1 1 1
direct
0.0000 0.0000 0.5000
0.5000 0.0000 0.0000
0.5000 0.5000 0.5000
0.0000 0.5000 0.0000
0.0000 0.0000 0.0000
```

=====

No. 11
Compound: GaFeTcPd
Source: Alexandria via LeMat-Bulk
Functional: GGA-PBE
Structure: optimized geometry

Results
ΔH_f (0 K) in kcal/mol of atoms: -2.72

Cell and atoms, written as POSCAR:
```
GaFeTcPd
1.0
4.3043 0.0000 0.0000
2.1522 3.7277 0.0000
2.1522 1.2426 3.5145
Ga Tc Pd Fe
1 1 1 1
direct
0.2500 0.2500 0.2500
0.5000 0.5000 0.5000
0.0000 0.0000 0.0000
0.7500 0.7500 0.7500
```

=====

No. 12
Compound: VGaFePd
Source: Alexandria via LeMat-Bulk
Functional: GGA-PBE
Structure: optimized geometry

Results
ΔH_f (0 K) in kcal/mol of atoms: -4.36

Cell and atoms, written as POSCAR:
```
VGaFePd
1.0
4.2569 0.0000 0.0000
2.1284 3.6866 0.0000
2.1284 1.2289 3.4757
V Ga Pd Fe
1 1 1 1
direct
0.0000 0.0000 0.0000
0.5000 0.5000 0.5000
0.7500 0.7500 0.7500
0.2500 0.2500 0.2500
```

=====

No. 13
Compound: GaFePdW2
Source: Alexandria via LeMat-Bulk
Functional: GGA-PBE
Structure: optimized geometry

Results
ΔH_f (0 K) in kcal/mol of atoms: 28.27

Cell and atoms, written as POSCAR:
```
GaFePdW2
1.0
4.4065 0.0000 0.0000
0.0000 4.6962 0.0000
0.0000 0.0000 4.4065
Ga Pd W Fe
1 1 2 1
direct
0.5000 0.5000 0.5000
0.0000 0.5000 0.0000
0.0000 0.0000 0.5000
0.5000 0.0000 0.0000
0.0000 0.0000 0.0000
```

=====

No. 14
Compound: ZnGaFePd
Source: Alexandria via LeMat-Bulk
Functional: GGA-PBE
Structure: optimized geometry

Results
ΔH_f (0 K) in kcal/mol of atoms: -4.44

Cell and atoms, written as POSCAR:
```
ZnGaFePd
1.0
-0.1687 2.8339 -3.1326
-3.5191 2.2595 -0.6191
-0.0420 4.1330 0.8885
Zn Ga Pd Fe
1 1 1 1
direct
0.0000 0.0000 0.0000
0.5000 0.5000 0.5000
0.2500 0.2500 0.2500
0.7500 0.7500 0.7500
```

=====

No. 15
Compound: ZrGaFePd
Source: Alexandria via LeMat-Bulk
Functional: GGA-PBE
Structure: optimized geometry

Results
ΔH_f (0 K) in kcal/mol of atoms: -9.23

Cell and atoms, written as POSCAR:
```
ZrGaFePd
1.0
-1.5393 1.9842 -3.6705
-3.1892 -1.9489 -2.4104
-4.1065 1.7068 -0.0496
Ga Zr Pd Fe
1 1 1 1
direct
0.0000 0.0000 0.0000
0.5000 0.5000 0.5000
0.2500 0.2500 0.2500
0.7500 0.7500 0.7500
```

=====

No. 16
Compound: PmGaFe4
Source: Alexandria via LeMat-Bulk
Functional: GGA-PBE
Structure: optimized geometry

Results
ΔH_f (0 K) in kcal/mol of atoms: -0.30

Cell and atoms, written as POSCAR:
```
PmGaFe4
1.0
5.0108 0.0000 0.0000
2.5054 4.3395 0.0000
2.5054 1.4465 4.0913
Fe Ga Pm
4 1 1
direct
0.6262 0.6262 0.1214
0.6262 0.1214 0.6262
0.6262 0.6262 0.6262
0.1214 0.6262 0.6262
0.0000 0.0000 0.0000
0.2500 0.2500 0.2500
```

=====

No. 17
Compound: Pm2Ga6Fe
Source: Alexandria via LeMat-Bulk
Functional: GGA-PBE
Structure: optimized geometry

Results
ΔH_f (0 K) in kcal/mol of atoms: -12.24

Cell and atoms, written as POSCAR:
```
Pm2Ga6Fe
1.0
5.3928 0.0000 3.1135
1.7976 5.0844 3.1135
0.0000 0.0000 6.2271
Pm Ga Fe
2 6 1
direct
0.2500 0.2500 0.2500
0.7500 0.7500 0.7500
0.2785 0.7215 0.7215
0.2785 0.7215 0.2785
0.7215 0.2785 0.7215
0.7215 0.2785 0.2785
0.7215 0.7215 0.2785
0.2785 0.2785 0.7215
0.0000 0.0000 0.0000
```

=====

No. 18
Compound: Pm3GaFe
Source: Alexandria via LeMat-Bulk
Functional: GGA-PBE
Structure: optimized geometry

Results
ΔH_f (0 K) in kcal/mol of atoms: 1.07

Cell and atoms, written as POSCAR:
```
Pm3GaFe
1.0
5.1581 0.0000 0.0000
0.0000 5.1581 0.0000
0.0000 0.0000 5.1581
Fe Ga Pm
1 1 3
direct
0.0000 0.0000 0.0000
0.5000 0.5000 0.5000
0.0000 0.5000 0.0000
0.0000 0.0000 0.5000
0.5000 0.0000 0.0000
```

=====

No. 19
Compound: PmGa3Fe2
Source: Alexandria via LeMat-Bulk
Functional: GGA-PBE
Structure: optimized geometry

Results
ΔH_f (0 K) in kcal/mol of atoms: -7.98

Cell and atoms, written as POSCAR:
```
PmGa3Fe2
1.0
5.1371 0.0000 0.0000
0.0000 6.2123 -1.2228
0.0000 0.0501 6.3313
Pm Ga Fe
2 6 4
direct
0.2500 0.3383 0.3383
0.7500 0.6617 0.6617
0.7500 0.4624 0.0838
0.7500 0.0838 0.4624
0.2500 0.5376 0.9162
0.7500 0.0459 0.0459
0.2500 0.9541 0.9541
0.2500 0.9162 0.5376
0.5000 0.7837 0.2163
0.0000 0.7837 0.2163
0.0000 0.2163 0.7837
0.5000 0.2163 0.7837
```

=====

No. 20
Compound: PmGa8Fe4
Source: Alexandria via LeMat-Bulk
Functional: GGA-PBE
Structure: optimized geometry

Results
ΔH_f (0 K) in kcal/mol of atoms: -6.49

Cell and atoms, written as POSCAR:
```
PmGa8Fe4
1.0
-2.3248 -3.4405 2.9127
1.5778 -6.2735 -1.7348
3.6170 -1.6093 5.4022
Pm Ga Fe
1 8 4
direct
0.0000 0.0000 0.0000
0.0000 0.3413 0.6587
0.0000 0.6587 0.3413
0.3413 0.6587 0.6587
0.6587 0.3413 0.3413
0.5000 0.7758 0.2242
0.5000 0.2242 0.7758
0.2758 0.2242 0.2242
0.7242 0.7758 0.7758
0.0000 0.0000 0.5000
0.5000 0.0000 0.5000
0.0000 0.5000 0.0000
0.5000 0.5000 0.0000
```

=====

No. 21
Compound: PmGa3Fe3
Source: Alexandria via LeMat-Bulk
Functional: GGA-PBE
Structure: optimized geometry

Results
ΔH_f (0 K) in kcal/mol of atoms: 8.67

Cell and atoms, written as POSCAR:
```
PmGa3Fe3
1.0
-1.4854 5.4740 3.2558
-5.4626 -2.8141 2.2391
3.2750 -2.2109 5.2114
Fe Ga Pm
6 6 2
direct
0.2500 0.0000 0.5000
0.0000 0.5000 0.2500
0.5000 0.7500 0.0000
0.7500 0.0000 0.5000
0.0000 0.5000 0.7500
0.5000 0.2500 0.0000
0.0000 0.2500 0.5000
0.0000 0.7500 0.5000
0.5000 0.0000 0.7500
0.7500 0.5000 0.0000
0.5000 0.0000 0.2500
0.2500 0.5000 0.0000
0.5000 0.5000 0.5000
0.0000 0.0000 0.0000
```

=====

No. 22
Compound: Pm4Ga16Fe3
Source: Alexandria via LeMat-Bulk
Functional: GGA-PBE
Structure: optimized geometry

Results
ΔH_f (0 K) in kcal/mol of atoms: -10.43

Cell and atoms, written as POSCAR:
```
Pm4Ga16Fe3
1.0
-0.3904 -4.4574 4.1357
-4.0847 -2.8776 -3.4870
8.3979 -5.5859 -5.2277
Pm Ga Fe
4 16 3
direct
0.5000 0.0000 0.8052
0.0000 0.5000 0.1948
0.0000 0.5000 0.8052
0.5000 0.0000 0.1948
0.0000 0.0000 0.7836
0.2813 0.2813 0.0000
0.5000 0.5000 0.8014
0.7187 0.2813 0.0000
0.5000 0.5000 0.1986
0.7187 0.7187 0.0000
0.0000 0.0000 0.2164
0.7529 0.7529 0.6124
0.7529 0.2471 0.3876
0.2471 0.2471 0.6124
0.2471 0.7529 0.3876
0.2813 0.7187 0.0000
0.7529 0.7529 0.3876
0.7529 0.2471 0.6124
0.2471 0.2471 0.3876
0.2471 0.7529 0.6124
0.0000 0.5000 0.5000
0.0000 0.0000 0.0000
0.5000 0.0000 0.5000
```

=====

No. 23
Compound: PmGa6Fe
Source: Alexandria via LeMat-Bulk
Functional: GGA-PBE
Structure: optimized geometry

Results
ΔH_f (0 K) in kcal/mol of atoms: -2.93

Cell and atoms, written as POSCAR:
```
PmGa6Fe
1.0
6.3248 0.0000 0.0000
3.1624 5.4774 0.0000
3.1624 1.8258 4.5240
Pm Ga Fe
1 6 1
direct
0.5000 0.5000 0.5000
0.8768 0.8768 0.7783
0.4681 0.8768 0.7783
0.1232 0.5319 0.2217
0.5319 0.1232 0.2217
0.1232 0.1232 0.2217
0.8768 0.4681 0.7783
0.0000 0.0000 0.0000
```

=====

No. 24
Compound: PmGa5Fe
Source: Alexandria via LeMat-Bulk
Functional: GGA-PBE
Structure: optimized geometry

Results
ΔH_f (0 K) in kcal/mol of atoms: -9.16

Cell and atoms, written as POSCAR:
```
PmGa5Fe
1.0
-3.7487 -0.4069 -2.0004
1.3677 -3.6057 -1.8298
-2.4710 -3.6657 5.3763
Pm Ga Fe
1 5 1
direct
0.0000 0.0000 0.0000
0.5000 0.0000 0.6833
0.0000 0.5000 0.6833
0.5000 0.5000 0.0000
0.0000 0.5000 0.3167
0.5000 0.0000 0.3167
0.0000 0.0000 0.5000
```

=====

No. 25
Compound: Pm2Ga3FePt4
Source: Alexandria via LeMat-Bulk
Functional: GGA-PBE
Structure: optimized geometry

Results
ΔH_f (0 K) in kcal/mol of atoms: -19.50

Cell and atoms, written as POSCAR:
```
Pm2Ga3FePt4
1.0
4.1647 0.0000 0.0000
0.0000 4.1647 0.0000
0.0000 0.0000 10.8657
Pm Ga Fe Pt
2 3 1 4
direct
0.5000 0.0000 0.2563
0.0000 0.5000 0.7437
0.0000 0.0000 0.5000
0.5000 0.0000 0.8645
0.0000 0.5000 0.1355
0.5000 0.5000 0.5000
0.5000 0.5000 0.0000
0.0000 0.0000 0.0000
0.5000 0.0000 0.6355
0.0000 0.5000 0.3645
```

=====

| no. | uncorrected energy (eV/atom) |
| --- | --- |
| 1 | -5.331 |
| 2 | -5.413 |
| 3 | -4.894 |
| 4 | -4.124 |
| 5 | -6.365 |
| 6 | -6.719 |
| 7 | -6.213 |
| 8 | -5.210 |
| 9 | -4.931 |
| 10 | -3.577 |
| 11 | -6.880 |
| 12 | -6.639 |
| 13 | -7.292 |
| 14 | -4.682 |
| 15 | -6.708 |
| 16 | -6.951 |
| 17 | -4.545 |
| 18 | -5.102 |
| 19 | -5.472 |
| 20 | -5.113 |
| 21 | -5.227 |
| 22 | -4.488 |
| 23 | -4.049 |
| 24 | -4.447 |
| 25 | -5.966 |